No. 1
Density functional theory data (GGA-PBE) for a geometry-optimized YTmMgZn structure.

For the energy above the most stable polymorph in this dataset, the calculation gives 32 meV/atom. The formation energy comes out at -0.185 eV per atom.

The structure belongs to space group F-43m (No. 216); the cell edges are 7.3116, 7.3116 and 7.3116 Å and the angles 90.00°, 90.00° and 90.00°. The inequivalent atoms are Y at (0.0000, 0.0000, 0.0000), Tm at (0.0000, 0.0000, 0.5000), Mg at (0.2500, 0.2500, 0.7500) and Zn at (0.2500, 0.2500, 0.2500).

No. 2
Density functional theory data (GGA-PBE) for a geometry-optimized Co2Re3 structure.

For the energy above the most stable polymorph in this dataset, the calculation gives 422 meV/atom. The formation energy comes out at 0.528 eV per atom.

The structure belongs to space group P-3m1 (No. 164); the cell edges are 4.0111, 4.0111 and 5.1451 Å and the angles 90.00°, 90.00° and 120.00°. The inequivalent atoms are Co at (0.3333, 0.6667, 0.3828), Re at (0.0000, 0.0000, 0.5000) and Re at (0.3333, 0.6667, 0.8902).

No. 3
Density functional theory data (GGA-PBE) for a geometry-optimized KPaSnO6 structure.

For the energy relative to the elements, uncorrected, the calculation gives -1674 kJ/mol of formula units.

The structure belongs to space group P312 (No. 149); the cell edges are 5.8396, 5.8396 and 4.8526 Å and the angles 90.00°, 90.00° and 120.00°. The inequivalent atoms are K at (0.0000, 0.0000, 0.0000), Pa at (0.6667, 0.3333, 0.5000), Sn at (0.3333, 0.6667, 0.0000) and O at (0.0076, 0.4156, 0.2450).

No. 4
Density functional theory data (GGA-PBE) for a geometry-optimized TlBiO2 structure.

For the energy relative to the elements, uncorrected, the calculation gives -146 kJ/mol of formula units. For the energy above the most stable polymorph in this dataset, the calculation gives 508 meV/atom.

The structure belongs to space group Fm-3m (No. 225); the cell edges are 6.3638, 6.3638 and 6.3638 Å and the angles 90.00°, 90.00° and 90.00°. The inequivalent atoms are Tl at (0.0000, 0.0000, 0.0000), Bi at (0.0000, 0.0000, 0.5000) and O at (0.2500, 0.2500, 0.2500).

No. 5
Density functional theory data (GGA-PBE) for a geometry-optimized Sb2Br structure.

For the energy relative to the elements, uncorrected, the calculation gives 94 kJ/mol of formula units. For the energy above the most stable polymorph in this dataset, the calculation gives 516 meV/atom.

The structure belongs to space group P6_3/mmc (No. 194); the cell edges are 5.5715, 5.5715 and 6.1577 Å and the angles 90.00°, 90.00° and 120.00°. The inequivalent atoms are Sb at (0.0000, 0.0000, 0.0000), Sb at (0.3333, 0.6667, 0.2500) and Br at (0.3333, 0.6667, 0.7500).

No. 6
Density functional theory data (GGA-PBE) for a geometry-optimized La2NdY5Th structure.

The formation energy comes out at 0.267 eV per atom.

The structure belongs to space group I4/mcm (No. 140); the cell edges are 8.7536, 8.7536 and 15.7585 Å and the angles 90.00°, 90.00° and 90.00°. The inequivalent atoms are La at (0.1165, 0.3835, 0.0000), Nd at (0.0000, 0.5000, 0.2500), Y at (0.0000, 0.0000, 0.0000), Y at (0.2149, 0.2851, 0.3593) and Th at (0.0000, 0.0000, 0.2500).

Number 1: total DFT energy (no corrections) -3.636 eV/atom, N(E_F) 0.952 states/eV per atom. Number 2: total DFT energy (no corrections) -9.783 eV/atom, N(E_F) 1.375 states/eV per atom. Number 3: total DFT energy (no corrections) -6.855 eV/atom, N(E_F) 0.254 states/eV per atom. Number 4: total DFT energy (no corrections) -4.419 eV/atom, N(E_F) 0.000 states/eV per atom. Number 5: total DFT energy (no corrections) -2.980 eV/atom, N(E_F) 0.701 states/eV per atom. Number 6: total DFT energy (no corrections) -5.773 eV/atom, N(E_F) 1.427 states/eV per atom.